1.
A plane-wave DFT calculation with PBE-GGA was carried out for a relaxed structure of Ho2CoNi.

Its total DFT energy (no corrections) is -5.84 eV per atom. As for the density: 9.52 g/cm3.

The structure belongs to space group Amm2 (No. 38); the cell edges are 3.941, 3.812 and 10.388 Å and the angles 90.00°, 90.00° and 90.00°. The asymmetric unit holds Ho at (0.000, 0.000, 0.000), Ho at (0.500, 0.000, 0.284), Co at (0.000, 0.000, 0.712) and Ni at (0.500, 0.000, 0.574).


2.
A plane-wave DFT calculation with PBE-GGA was carried out for a relaxed structure of GdAgHgPd.

Its total DFT energy (no corrections) is -6.04 eV per atom. As for the density: 11.34 g/cm3.

The structure belongs to space group F-43m (No. 216); the cell edges are 6.946, 6.946 and 6.946 Å and the angles 90.00°, 90.00° and 90.00°. The asymmetric unit holds Gd at (0.000, 0.000, 0.000), Ag at (0.250, 0.250, 0.250), Hg at (0.000, 0.000, 0.500) and Pd at (0.250, 0.250, 0.750).


3.
A plane-wave DFT calculation with PBE-GGA was carried out for a relaxed structure of BeAlHg2.

The calculation puts the distance to the lowest polymorph of the same formula at 217.2 meV per atom. As for the density: 9.05 g/cm3.

The structure belongs to space group I-42d (No. 122); the cell edges are 7.181, 7.181 and 6.221 Å and the angles 90.00°, 90.00° and 90.00°. The asymmetric unit holds Be at (0.000, 0.000, 0.000), Al at (0.000, 0.000, 0.500) and Hg at (0.211, 0.250, 0.125).


4.
A plane-wave DFT calculation with PBE-GGA was carried out for a relaxed structure of Be2TlC2.

The calculation puts the distance to the lowest polymorph of the same formula at 0.0 meV per atom. As for the density: 8.20 g/cm3.

The structure belongs to space group I4/mmm (No. 139); the cell edges are 3.553, 3.553 and 7.909 Å and the angles 90.00°, 90.00° and 90.00°. The asymmetric unit holds Be at (0.000, 0.500, 0.250), Tl at (0.000, 0.000, 0.000) and C at (0.000, 0.000, 0.388).


5.
A plane-wave DFT calculation with PBE-GGA was carried out for a relaxed structure of Zr8BiSb2.

Its formation energy (no corrections) is -0.23 eV per atom. As for the density: 7.42 g/cm3.

The structure belongs to space group C2/m (No. 12); the cell edges are 8.074, 13.142 and 5.530 Å and the angles 90.00°, 115.55° and 90.00°. The asymmetric unit holds Zr at (0.000, 0.231, 0.000), Zr at (0.092, 0.500, 0.813), Zr at (0.206, 0.114, 0.613), Bi at (0.000, 0.000, 0.000) and Sb at (0.000, 0.305, 0.500).


6.
A plane-wave DFT calculation with PBE-GGA was carried out for a relaxed structure of ZrAlCl3.

The calculation puts the distance to the lowest polymorph of the same formula at 0.0 meV per atom. Its formation energy (no corrections) is -0.76 eV per atom. As for the density: 2.81 g/cm3.

The structure belongs to space group Pm-3m (No. 221); the cell edges are 5.101, 5.101 and 5.101 Å and the angles 90.00°, 90.00° and 90.00°. The asymmetric unit holds Zr at (0.000, 0.000, 0.000), Al at (0.500, 0.500, 0.500) and Cl at (0.000, 0.000, 0.500).


7.
A plane-wave DFT calculation with PBE-GGA was carried out for a relaxed structure of K2BaCo.

The calculation puts the distance to the lowest polymorph of the same formula at 167.2 meV per atom. As for the density: 2.62 g/cm3.

The structure belongs to space group Pmmm (No. 47); the cell edges are 5.098, 5.117 and 6.675 Å and the angles 90.00°, 90.00° and 90.00°. The asymmetric unit holds K at (0.000, 0.000, 0.000), K at (0.500, 0.500, 0.000), Ba at (0.000, 0.500, 0.500) and Co at (0.500, 0.000, 0.500).


8.
A plane-wave DFT calculation with PBE-GGA was carried out for a relaxed structure of WSe2I.

The calculation puts the distance to the lowest polymorph of the same formula at 555.8 meV per atom. Its formation energy (no corrections) is 0.28 eV per atom. As for the density: 6.03 g/cm3.

The structure belongs to space group I-42d (No. 122); the cell edges are 7.151, 7.151 and 10.100 Å and the angles 90.00°, 90.00° and 90.00°. The asymmetric unit holds W at (0.000, 0.000, 0.000), Se at (0.131, 0.250, 0.125) and I at (0.000, 0.000, 0.500).


9.
A plane-wave DFT calculation with PBE-GGA was carried out for a relaxed structure of AlMo2W.

Its total DFT energy (no corrections) is -9.67 eV per atom. As for the density: 10.64 g/cm3.

The structure belongs to space group Cmmm (No. 65); the cell edges are 3.209, 4.465 and 8.775 Å and the angles 90.00°, 90.00° and 90.00°. The asymmetric unit holds Al at (0.000, 0.000, 0.000), Mo at (0.000, 0.500, 0.247) and W at (0.000, 0.000, 0.500).


10.
A plane-wave DFT calculation with PBE-GGA was carried out for a relaxed structure of Ho8Ga2Fe.

Its total DFT energy (no corrections) is -4.84 eV per atom. As for the density: 8.96 g/cm3.

The structure belongs to space group C2/m (No. 12); the cell edges are 17.363, 5.023 and 6.612 Å and the angles 90.00°, 103.16° and 90.00°. The asymmetric unit holds Ho at (0.022, 0.000, 0.282), Ho at (0.090, 0.500, 0.938), Ho at (0.150, 0.500, 0.459), Ho at (0.204, 0.000, 0.801), Ga at (0.192, 0.000, 0.238) and Fe at (0.000, 0.500, 0.500).